Record 1
## KHfTePdSeS (PBE)

Data for KHfTePdSeS after structural relaxation.

Calculated values
The value obtained for the distance to the lowest polymorph of the same formula is 116 meV/atom. The calculation puts the magnetic moment at 0.00 μB per formula unit. The crystal system is monoclinic.

a b c (Å): 8.774 3.930 9.700
angles (deg): 90.00 111.43 90.00
Space group P2_1/m (No. 11)
One atom of each set of equivalent atoms:
K 0.232 0.250 0.205
Hf 0.185 0.750 0.673
Te 0.412 0.250 0.637
Pd 0.395 0.250 0.915
Se 0.039 0.750 0.362
S 0.250 0.750 0.943

---

Record 2
## ErSiNi (PBE)

Data for ErSiNi after structural relaxation.

Calculated values
The calculation puts the magnetic moment at 0.00 μB per formula unit. The crystal system is hexagonal.

a b c (Å): 7.6194 7.6194 3.1437
angles (deg): 90.00 90.00 120.00
Space group P-62m (No. 189)
One atom of each set of equivalent atoms:
Er 0.0000 0.2919 0.0000
Si 0.0000 0.0000 0.5000
Si 0.3333 0.6667 0.0000
Ni 0.0000 0.6336 0.5000

---

Record 3
## Tl3Zn4 (PBE)

Data for Tl3Zn4 after structural relaxation.

Calculated values
The value obtained for the distance to the lowest polymorph of the same formula is 65 meV/atom. The crystal system is hexagonal.

a b c (Å): 9.0695 9.0695 4.4081
angles (deg): 90.00 90.00 120.00
Space group P6_3/m (No. 176)
One atom of each set of equivalent atoms:
Tl 0.0990 0.4420 0.2500
Zn 0.0457 0.1961 0.7500
Zn 0.3333 0.6667 0.7500

---

Record 4
## TbTlFeSe3 (PBE)

Data for TbTlFeSe3 after structural relaxation.

Calculated values
The calculation puts the magnetic moment at 3.85 μB per formula unit. The crystal system is monoclinic.

a b c (Å): 9.185 4.072 9.509
angles (deg): 90.00 107.48 90.00
Space group P2_1/m (No. 11)
One atom of each set of equivalent atoms:
Tb 0.169 0.250 0.148
Tl 0.296 0.750 0.776
Fe 0.427 0.750 0.415
Se 0.043 0.250 0.834
Se 0.293 0.250 0.473
Se 0.394 0.750 0.150

---

Record 5
## LuBi2Au (PBE)

Data for LuBi2Au after structural relaxation.

Calculated values
The calculation puts the magnetic moment at 0.01 μB per formula unit. The crystal system is cubic.

a b c (Å): 7.498 7.498 7.498
angles (deg): 90.00 90.00 90.00
Space group F-43m (No. 216)
One atom of each set of equivalent atoms:
Lu 0.000 0.000 0.000
Bi 0.000 0.000 0.500
Bi 0.250 0.250 0.750
Au 0.250 0.250 0.250

---

Record 6
## K2CoGe3S8 (PBE)

Data for K2CoGe3S8 after structural relaxation.

Calculated values
The calculation puts the magnetic moment at 3.02 μB per formula unit. The crystal system is triclinic.

a b c (Å): 7.060 7.872 14.496
angles (deg): 93.57 92.80 113.89
Space group P-1 (No. 2)
One atom of each set of equivalent atoms:
K 0.119 0.237 0.142
K 0.143 0.816 0.518
Co 0.213 0.749 0.265
Ge 0.262 0.206 0.747
Ge 0.422 0.503 0.398
Ge 0.460 0.843 0.062
S 0.066 0.946 0.310
S 0.119 0.500 0.351
S 0.165 0.658 0.112
S 0.263 0.222 0.905
S 0.390 0.513 0.719
S 0.394 0.266 0.488
S 0.445 0.845 0.905
S 0.449 0.059 0.696

---

Record 7
## Dy3PaN4 (PBE)

Data for Dy3PaN4 after structural relaxation.

Calculated values
The calculation puts the magnetic moment at 0.01 μB per formula unit. The crystal system is orthorhombic.

a b c (Å): 6.931 9.755 3.480
angles (deg): 90.00 90.00 90.00
Space group Cmmm (No. 65)
One atom of each set of equivalent atoms:
Dy 0.000 0.000 0.000
Dy 0.250 0.250 0.500
Pa 0.000 0.500 0.000
N 0.000 0.259 0.000
N 0.241 0.500 0.500

---

Record 8
## CsGdTe3Pb (PBE)

Data for CsGdTe3Pb after structural relaxation.

Calculated values
The calculation puts the magnetic moment at 0.00 μB per formula unit. The crystal system is orthorhombic.

a b c (Å): 4.575 17.268 12.841
angles (deg): 90.00 90.00 90.00
Space group Cmcm (No. 63)
One atom of each set of equivalent atoms:
Cs 0.000 0.231 0.250
Gd 0.000 0.500 0.000
Te 0.000 0.124 0.517
Te 0.000 0.455 0.750
Pb 0.000 0.070 0.750

---

Which VASP energy belongs to each record? In order, -0.405 -0.393 -0.116 -0.386 -0.308 -0.339 -0.645 -0.298 Ry per atom.